Record 1
Crystalline Zn2Co2As at its relaxed geometry, computed with GGA-PBE.

Cell lengths 3.2921, 3.2921, 12.8780 Å; angles 90.00, 90.00, 90.00 degrees
Closest atoms and distances in Å follow each position.
Positions (direct):
Zn: 0.0000 0.5000 0.2500  4 Zn 2.33, 4 Co 2.60
Zn: 0.0000 0.5000 0.7500  4 Zn 2.33, 4 Co 2.60
Zn: 0.5000 0.0000 0.2500  4 Zn 2.33, 4 Co 2.60
Zn: 0.5000 0.0000 0.7500  4 Zn 2.33, 4 Co 2.60
Co: 0.0000 0.0000 0.0941  1 Co 2.42, 4 Zn 2.60, 4 As 2.62
Co: 0.0000 0.0000 0.9059  1 Co 2.42, 4 Zn 2.60, 4 As 2.62
Co: 0.5000 0.5000 0.4059  1 Co 2.42, 4 Zn 2.60, 4 As 2.62
Co: 0.5000 0.5000 0.5941  1 Co 2.42, 4 Zn 2.60, 4 As 2.62
As: 0.0000 0.0000 0.5000  8 Co 2.62
As: 0.5000 0.5000 0.0000  8 Co 2.62

## Properties
- Mass density: 7700 kg/m3
- Electronic total energy: -4.045 eV/atom

Record 2
Crystalline ZnCo2As at its relaxed geometry, computed with GGA-PBE.

Cell lengths 2.7873, 2.7873, 24.8651 Å; angles 90.00, 90.00, 120.00 degrees
Closest atoms and distances in Å follow each position.
Positions (direct):
Zn: 0.0000 0.0000 0.0000  3 Co 2.56, 6 Zn 2.79
Zn: 0.3333 0.6667 0.6667  3 Co 2.56, 6 Zn 2.79
Zn: 0.6667 0.3333 0.3333  3 Co 2.56, 6 Zn 2.79
Co: 0.0000 0.0000 0.4886  3 As 2.40, 3 Co 2.47
Co: 0.0000 0.0000 0.7465  3 Co 2.47, 3 Zn 2.56
Co: 0.3333 0.6667 0.1553  3 As 2.40, 3 Co 2.47
Co: 0.3333 0.6667 0.4132  3 Co 2.47, 3 Zn 2.56
Co: 0.6667 0.3333 0.0799  3 Co 2.47, 3 Zn 2.56
Co: 0.6667 0.3333 0.8219  3 As 2.40, 3 Co 2.47
As: 0.0000 0.0000 0.2268  3 Co 2.40
As: 0.3333 0.6667 0.8934  3 Co 2.40
As: 0.6667 0.3333 0.5601  3 Co 2.40

## Properties
- Polymorph energy (0 for the lowest one): 221.9 meV per atom
- Mass density: 7688 kg/m3
- Electronic total energy: -4.841 eV/atom

Record 3
Crystalline ZnCo3As at its relaxed geometry, computed with GGA-PBE.

Cell lengths 4.2927, 4.2927, 4.2927 Å; angles 90.00, 90.00, 90.00 degrees
Closest atoms and distances in Å follow each position.
Positions (direct):
Zn: 0.0000 0.0000 0.0000  12 Co 3.04
Co: 0.0000 0.5000 0.5000  2 As 2.15
Co: 0.5000 0.0000 0.5000  2 As 2.15
Co: 0.5000 0.5000 0.0000  2 As 2.15
As: 0.5000 0.5000 0.5000  6 Co 2.15

## Properties
- Polymorph energy (0 for the lowest one): 0.0 meV per atom
- Mass density: 6657 kg/m3
- Electronic total energy: -4.822 eV/atom

Record 4
Crystalline ZnCo2As at its relaxed geometry, computed with GGA-PBE.

Cell lengths 5.8003, 5.8003, 5.8003 Å; angles 90.00, 90.00, 90.00 degrees
Closest atoms and distances in Å follow each position.
Positions (direct):
Zn: 0.0000 0.0000 0.0000  8 Co 2.51
Zn: 0.0000 0.5000 0.5000  8 Co 2.51
Zn: 0.5000 0.0000 0.5000  8 Co 2.51
Zn: 0.5000 0.5000 0.0000  8 Co 2.51
Co: 0.2500 0.2500 0.2500  4 Zn 2.51, 4 As 2.51
Co: 0.2500 0.2500 0.7500  4 As 2.51, 4 Zn 2.51
Co: 0.2500 0.7500 0.2500  4 As 2.51, 4 Zn 2.51
Co: 0.2500 0.7500 0.7500  4 As 2.51, 4 Zn 2.51
Co: 0.7500 0.2500 0.2500  4 As 2.51, 4 Zn 2.51
Co: 0.7500 0.2500 0.7500  4 As 2.51, 4 Zn 2.51
Co: 0.7500 0.7500 0.2500  4 As 2.51, 4 Zn 2.51
Co: 0.7500 0.7500 0.7500  4 As 2.51, 4 Zn 2.51
As: 0.0000 0.0000 0.5000  8 Co 2.51
As: 0.0000 0.5000 0.0000  8 Co 2.51
As: 0.5000 0.0000 0.0000  8 Co 2.51
As: 0.5000 0.5000 0.5000  8 Co 2.51

## Properties
- Polymorph energy (0 for the lowest one): 0.0 meV per atom
- Mass density: 8788 kg/m3
- Electronic total energy: -5.063 eV/atom

Record 5
Crystalline Zn4CoAs at its relaxed geometry, computed with GGA-PBE.

Cell lengths 5.0061, 5.0061, 5.0061 Å; angles 60.00, 60.00, 60.00 degrees
Closest atoms and distances in Å follow each position.
Positions (direct):
Zn: 0.1240 0.1240 0.1240  6 Zn 2.48-2.52
Zn: 0.1240 0.1240 0.6279  6 Zn 2.48-2.52
Zn: 0.1240 0.6279 0.1240  6 Zn 2.48-2.52
Zn: 0.6279 0.1240 0.1240  6 Zn 2.48-2.52
Co: 0.7500 0.7500 0.7500  12 Zn 2.93, 4 As 3.07
As: 0.5000 0.5000 0.5000  12 Zn 2.94, 4 Co 3.07

## Properties
- Mass density: 7403 kg/m3
- Electronic total energy: -2.578 eV/atom

Record 6
Crystalline ZnCo2As at its relaxed geometry, computed with GGA-PBE.

Cell lengths 3.7712, 3.7712, 13.4551 Å; angles 90.00, 90.00, 120.00 degrees
Closest atoms and distances in Å follow each position.
Positions (direct):
Zn: 0.0000 0.0000 0.0000  1 As 2.51, 6 Co 2.51-2.64
Zn: 0.3333 0.6667 0.6667  1 As 2.51, 6 Co 2.51-2.64
Zn: 0.6667 0.3333 0.3333  1 As 2.51, 6 Co 2.51-2.64
Co: 0.0000 0.0000 0.2219  3 As 2.40, 3 Zn 2.64
Co: 0.0000 0.0000 0.4262  3 As 2.30, 3 Zn 2.51
Co: 0.3333 0.6667 0.0929  3 As 2.30, 3 Zn 2.51
Co: 0.3333 0.6667 0.8886  3 As 2.40, 3 Zn 2.64
Co: 0.6667 0.3333 0.5553  3 As 2.40, 3 Zn 2.64
Co: 0.6667 0.3333 0.7596  3 As 2.30, 3 Zn 2.51
As: 0.0000 0.0000 0.8136  6 Co 2.30-2.40, 1 Zn 2.51
As: 0.3333 0.6667 0.4802  6 Co 2.30-2.40, 1 Zn 2.51
As: 0.6667 0.3333 0.1469  6 Co 2.30-2.40, 1 Zn 2.51

## Properties
- Polymorph energy (0 for the lowest one): 101.5 meV per atom
- Mass density: 7761 kg/m3
- Electronic total energy: -4.961 eV/atom

Formation enthalpy at 0 K? In order: 1.2 0.8 3.1 -0.1 1.4 0.3 eV per formula unit.